1.
# CeBe2CuPt5 | Alexandria via LeMat-Bulk | PBE | relaxed
# E_tot: -5.8399 eV per atom
# E_form: -0.541 eV per atom
data_CeBe2CuPt5
_space_group_name_H-M_alt 'P 1'
_space_group_IT_number 1
_cell_length_a 4.4193
_cell_length_b 4.4193
_cell_length_c 7.0465
_cell_angle_alpha 90.00
_cell_angle_beta 90.00
_cell_angle_gamma 90.00
loop_
_space_group_symop_operation_xyz
'x,y,z'
loop_
_atom_site_label
_atom_site_fract_x
_atom_site_fract_y
_atom_site_fract_z
Ce1 0.0000 0.0000 0.5000
Be1 0.5000 0.5000 0.1597
Be2 0.5000 0.5000 0.8403
Cu1 0.0000 0.0000 0.0000
Pt1 0.0000 0.5000 0.2138
Pt2 0.5000 0.0000 0.2138
Pt3 0.0000 0.5000 0.7862
Pt4 0.5000 0.0000 0.7862
Pt5 0.5000 0.5000 0.5000

***

2.
# Nb3VSe6 | Alexandria via LeMat-Bulk | PBE | relaxed
# E_tot: -6.5759 eV per atom
# raw formation energy: -5.52 eV/f.u.
# relative energy among the computed polymorphs: 34.48 kJ per mole of atoms
data_Nb3VSe6
_space_group_name_H-M_alt 'P 1'
_space_group_IT_number 1
_cell_length_a 6.2456
_cell_length_b 8.2554
_cell_length_c 8.2554
_cell_angle_alpha 104.61
_cell_angle_beta 90.00
_cell_angle_gamma 90.00
loop_
_space_group_symop_operation_xyz
'x,y,z'
loop_
_atom_site_label
_atom_site_fract_x
_atom_site_fract_y
_atom_site_fract_z
Nb1 0.4632 0.9780 0.7318
Nb2 0.9632 0.7318 0.9780
Nb3 0.3566 0.4166 0.5834
Nb4 0.8566 0.5834 0.4166
Nb5 0.9632 0.0220 0.2682
Nb6 0.4632 0.2682 0.0220
V1 0.0727 0.1520 0.8480
V2 0.5727 0.8480 0.1520
Se1 0.1480 0.7076 0.6517
Se2 0.6480 0.6517 0.7076
Se3 0.1949 0.4412 0.8908
Se4 0.6949 0.8908 0.4412
Se5 0.2737 0.9830 0.0170
Se6 0.6703 0.2543 0.7457
Se7 0.1703 0.7457 0.2543
Se8 0.7737 0.0170 0.9830
Se9 0.1949 0.1092 0.5588
Se10 0.6949 0.5588 0.1092
Se11 0.1480 0.3483 0.2924
Se12 0.6480 0.2924 0.3483

***

3.
# Cs2TlAgI5 | Alexandria via LeMat-Bulk | PBE | relaxed
# E_tot: -2.4894 eV per atom
# raw formation energy: -7.73 eV/f.u.
data_Cs2TlAgI5
_space_group_name_H-M_alt 'P 1'
_space_group_IT_number 1
_cell_length_a 5.0026
_cell_length_b 11.5839
_cell_length_c 15.3999
_cell_angle_alpha 90.00
_cell_angle_beta 90.00
_cell_angle_gamma 102.47
loop_
_space_group_symop_operation_xyz
'x,y,z'
loop_
_atom_site_label
_atom_site_fract_x
_atom_site_fract_y
_atom_site_fract_z
Cs1 0.8745 0.7491 0.8175
Cs2 0.1159 0.2318 0.6998
Cs3 0.1255 0.2509 0.3175
Cs4 0.8841 0.7682 0.1998
Tl1 0.7900 0.5799 0.5246
Tl2 0.2100 0.4201 0.0246
Ag1 0.5690 0.1379 0.9290
Ag2 0.4310 0.8621 0.4290
I1 0.3495 0.6989 0.0097
I2 0.6960 0.3920 0.8778
I3 0.4997 0.9994 0.7783
I4 0.2878 0.5756 0.6640
I5 0.9345 0.8689 0.5233
I6 0.6505 0.3011 0.5097
I7 0.3040 0.6080 0.3778
I8 0.5003 0.0006 0.2783
I9 0.7122 0.4244 0.1640
I10 0.0655 0.1311 0.0233

***

4.
# Tb4BiI5 | Alexandria via LeMat-Bulk | PBE | relaxed
# E_tot: -4.0561 eV per atom
# raw formation energy: -10.41 eV/f.u.
data_Tb4BiI5
_space_group_name_H-M_alt 'P 1'
_space_group_IT_number 1
_cell_length_a 4.1800
_cell_length_b 9.2997
_cell_length_c 9.5370
_cell_angle_alpha 98.74
_cell_angle_beta 102.66
_cell_angle_gamma 90.00
loop_
_space_group_symop_operation_xyz
'x,y,z'
loop_
_atom_site_label
_atom_site_fract_x
_atom_site_fract_y
_atom_site_fract_z
Tb1 0.3282 0.9444 0.6565
Tb2 0.9991 0.7665 0.9982
Tb3 0.6718 0.0556 0.3435
Tb4 0.0009 0.2335 0.0018
Bi1 0.5000 0.0000 0.0000
I1 0.8329 0.6870 0.6658
I2 0.8338 0.2050 0.6677
I3 0.1662 0.7950 0.3323
I4 0.5000 0.5000 0.0000
I5 0.1671 0.3130 0.3342

***

5.
# OsC2 | Alexandria via LeMat-Bulk | PBE | relaxed
# E_tot: -8.1450 eV per atom
# E_form: 1.748 eV per atom
# relative energy among the computed polymorphs: 114.19 kJ per mole of atoms
data_OsC2
_space_group_name_H-M_alt 'P 1'
_space_group_IT_number 1
_cell_length_a 3.1029
_cell_length_b 3.1029
_cell_length_c 5.7483
_cell_angle_alpha 90.00
_cell_angle_beta 90.00
_cell_angle_gamma 90.00
loop_
_space_group_symop_operation_xyz
'x,y,z'
loop_
_atom_site_label
_atom_site_fract_x
_atom_site_fract_y
_atom_site_fract_z
Os1 0.5000 0.0000 0.7583
Os2 0.0000 0.5000 0.2417
C1 0.0000 0.0000 0.0000
C2 0.5000 0.5000 0.0000
C3 0.5000 0.0000 0.3788
C4 0.0000 0.5000 0.6212

***

6.
# Pb5Br | Alexandria via LeMat-Bulk | PBE | relaxed
# E_tot: -3.4878 eV per atom
# raw formation energy: -0.71 eV/f.u.
# relative energy among the computed polymorphs: 0.00 kJ per mole of atoms
data_Pb5Br
_space_group_name_H-M_alt 'P 1'
_space_group_IT_number 1
_cell_length_a 3.6570
_cell_length_b 3.6570
_cell_length_c 13.9828
_cell_angle_alpha 90.00
_cell_angle_beta 90.00
_cell_angle_gamma 90.00
loop_
_space_group_symop_operation_xyz
'x,y,z'
loop_
_atom_site_label
_atom_site_fract_x
_atom_site_fract_y
_atom_site_fract_z
Pb1 0.0000 0.0000 0.8380
Pb2 0.0000 0.0000 0.1620
Pb3 0.5000 0.5000 0.6720
Pb4 0.5000 0.5000 0.3280
Pb5 0.0000 0.0000 0.5000
Br1 0.5000 0.5000 0.0000

***

7.
# PmHoTh2Bi4 | Alexandria via LeMat-Bulk | PBE | relaxed
# E_tot: -5.6873 eV per atom
# E_form: -0.726 eV per atom
data_PmHoTh2Bi4
_space_group_name_H-M_alt 'P 1'
_space_group_IT_number 1
_cell_length_a 4.5700
_cell_length_b 7.8709
_cell_length_c 7.9109
_cell_angle_alpha 70.34
_cell_angle_beta 90.00
_cell_angle_gamma 90.00
loop_
_space_group_symop_operation_xyz
'x,y,z'
loop_
_atom_site_label
_atom_site_fract_x
_atom_site_fract_y
_atom_site_fract_z
Pm1 0.5000 0.5000 0.0000
Ho1 0.0000 0.5000 0.5000
Th1 0.0000 0.0000 0.0000
Th2 0.5000 0.0000 0.5000
Bi1 0.0000 0.7450 0.7483
Bi2 0.0000 0.2550 0.2517
Bi3 0.5000 0.7422 0.2561
Bi4 0.5000 0.2578 0.7439

***

8.
# TbSmHg5 | Alexandria via LeMat-Bulk | PBE | relaxed
# E_tot: -1.8284 eV per atom
# E_form: -0.277 eV per atom
data_TbSmHg5
_space_group_name_H-M_alt 'P 1'
_space_group_IT_number 1
_cell_length_a 4.6332
_cell_length_b 4.6332
_cell_length_c 8.7811
_cell_angle_alpha 90.00
_cell_angle_beta 90.00
_cell_angle_gamma 90.04
loop_
_space_group_symop_operation_xyz
'x,y,z'
loop_
_atom_site_label
_atom_site_fract_x
_atom_site_fract_y
_atom_site_fract_z
Tb1 0.5000 0.5000 0.5000
Sm1 0.0000 0.0000 0.0000
Hg1 0.5000 0.0000 0.2428
Hg2 0.0000 0.5000 0.2428
Hg3 0.0000 0.0000 0.5000
Hg4 0.0000 0.5000 0.7572
Hg5 0.5000 0.0000 0.7572

***

9.
# SiTe3 | Alexandria via LeMat-Bulk | PBE | relaxed
# E_tot: -3.5458 eV per atom
# raw formation energy: 0.66 eV/f.u.
data_SiTe3
_space_group_name_H-M_alt 'P 1'
_space_group_IT_number 1
_cell_length_a 7.7524
_cell_length_b 7.7524
_cell_length_c 7.7524
_cell_angle_alpha 31.23
_cell_angle_beta 31.23
_cell_angle_gamma 31.23
loop_
_space_group_symop_operation_xyz
'x,y,z'
loop_
_atom_site_label
_atom_site_fract_x
_atom_site_fract_y
_atom_site_fract_z
Si1 0.0000 0.0000 0.0000
Te1 0.7374 0.7374 0.7374
Te2 0.5000 0.5000 0.5000
Te3 0.2626 0.2626 0.2626

***

10.
# MgBi4Pb5 | Alexandria via LeMat-Bulk | PBE | relaxed
# E_tot: -3.5576 eV per atom
# E_form: 0.008 eV per atom
data_MgBi4Pb5
_space_group_name_H-M_alt 'P 1'
_space_group_IT_number 1
_cell_length_a 5.3148
_cell_length_b 6.9621
_cell_length_c 9.4301
_cell_angle_alpha 109.80
_cell_angle_beta 106.37
_cell_angle_gamma 90.00
loop_
_space_group_symop_operation_xyz
'x,y,z'
loop_
_atom_site_label
_atom_site_fract_x
_atom_site_fract_y
_atom_site_fract_z
Mg1 0.5000 0.0000 0.0000
Bi1 0.3194 0.8342 0.6389
Bi2 0.9221 0.6950 0.8441
Bi3 0.6806 0.1658 0.3611
Bi4 0.0779 0.3050 0.1559
Pb1 0.7030 0.6509 0.4060
Pb2 0.8854 0.1795 0.7707
Pb3 0.1146 0.8205 0.2293
Pb4 0.5000 0.5000 0.0000
Pb5 0.2970 0.3491 0.5940

***

11.
# ZrBI2N | Alexandria via LeMat-Bulk | PBE | relaxed
# E_tot: -4.9447 eV per atom
# raw formation energy: 1.93 eV/f.u.
# relative energy among the computed polymorphs: 0.00 kJ per mole of atoms
data_ZrBI2N
_space_group_name_H-M_alt 'P 1'
_space_group_IT_number 1
_cell_length_a 6.5740
_cell_length_b 6.5740
_cell_length_c 2.7969
_cell_angle_alpha 90.00
_cell_angle_beta 90.00
_cell_angle_gamma 90.00
loop_
_space_group_symop_operation_xyz
'x,y,z'
loop_
_atom_site_label
_atom_site_fract_x
_atom_site_fract_y
_atom_site_fract_z
I1 0.0000 0.5000 0.0000
I2 0.5000 0.0000 0.0000
B1 0.0000 0.0000 0.0000
Zr1 0.5000 0.5000 0.5000
N1 0.0000 0.0000 0.5000

***

12.
# Ca3PbN | Alexandria via LeMat-Bulk | PBE | relaxed
# E_tot: -4.3698 eV per atom
# raw formation energy: -3.81 eV/f.u.
# relative energy among the computed polymorphs: 0.00 kJ per mole of atoms
data_Ca3PbN
_space_group_name_H-M_alt 'P 1'
_space_group_IT_number 1
_cell_length_a 4.9410
_cell_length_b 4.9410
_cell_length_c 4.9410
_cell_angle_alpha 90.00
_cell_angle_beta 90.00
_cell_angle_gamma 90.00
loop_
_space_group_symop_operation_xyz
'x,y,z'
loop_
_atom_site_label
_atom_site_fract_x
_atom_site_fract_y
_atom_site_fract_z
Pb1 0.5000 0.5000 0.5000
Ca1 0.0000 0.5000 0.0000
Ca2 0.0000 0.0000 0.5000
Ca3 0.5000 0.0000 0.0000
N1 0.0000 0.0000 0.0000